No. 1
# BeTc3I

An optimized crystal structure of BeTc3I (GGA-PBE, Alexandria). Values from VASP.

## Properties
energy relative to the elements, uncorrected: 2.306 eV/atom
space group: Pm-3m, No. 221
magnetization: 2.56 μB/cell

Geometry as Quantum ESPRESSO input:
```
&SYSTEM
  ibrav = 0, nat = 5, ntyp = 3
/
ATOMIC_SPECIES
Be 9.01 Be.upf
Tc 98.00 Tc.upf
I 126.90 I.upf
CELL_PARAMETERS angstrom
4.7907 0.0000 0.0000
0.0000 4.7907 0.0000
0.0000 0.0000 4.7907
ATOMIC_POSITIONS crystal
Be 0.0000 0.0000 0.0000
Tc 0.0000 0.5000 0.5000
Tc 0.5000 0.0000 0.5000
Tc 0.5000 0.5000 0.0000
I 0.5000 0.5000 0.5000
```

=====

No. 2
# Be2Tc4I

An optimized crystal structure of Be2Tc4I (GGA-PBE, Alexandria). Values from VASP.

## Properties
energy relative to the elements, uncorrected: 1.867 eV/atom
space group: I4/mmm, No. 139
magnetization: 10.80 μB/cell

Geometry as Quantum ESPRESSO input:
```
&SYSTEM
  ibrav = 0, nat = 14, ntyp = 3
/
ATOMIC_SPECIES
Be 9.01 Be.upf
Tc 98.00 Tc.upf
I 126.90 I.upf
CELL_PARAMETERS angstrom
4.7647 0.0000 0.0000
0.0000 4.7647 0.0000
0.0000 0.0000 11.5711
ATOMIC_POSITIONS crystal
Be 0.0000 0.0000 0.0879
Be 0.0000 0.0000 0.9121
Be 0.5000 0.5000 0.4121
Be 0.5000 0.5000 0.5879
Tc 0.0000 0.0000 0.2772
Tc 0.0000 0.0000 0.7228
Tc 0.0000 0.5000 0.0000
Tc 0.0000 0.5000 0.5000
Tc 0.5000 0.0000 0.0000
Tc 0.5000 0.0000 0.5000
Tc 0.5000 0.5000 0.2228
Tc 0.5000 0.5000 0.7772
I 0.0000 0.0000 0.5000
I 0.5000 0.5000 0.0000
```

=====

No. 3
# BeTc2TeI

An optimized crystal structure of BeTc2TeI (GGA-PBE, Alexandria). Values from VASP.

## Properties
energy relative to the elements, uncorrected: 1.984 eV/atom
space group: P4/mmm, No. 123
magnetization: 4.04 μB/cell

Geometry as Quantum ESPRESSO input:
```
&SYSTEM
  ibrav = 0, nat = 5, ntyp = 4
/
ATOMIC_SPECIES
Be 9.01 Be.upf
Tc 98.00 Tc.upf
Te 127.60 Te.upf
I 126.90 I.upf
CELL_PARAMETERS angstrom
4.9538 0.0000 0.0000
0.0000 4.9538 0.0000
0.0000 0.0000 6.3645
ATOMIC_POSITIONS crystal
Be 0.0000 0.0000 0.0000
Tc 0.0000 0.5000 0.5000
Tc 0.5000 0.0000 0.5000
Te 0.5000 0.5000 0.5000
I 0.5000 0.5000 0.0000
```

=====

No. 4
# Be2TlTcI

An optimized crystal structure of Be2TlTcI (GGA-PBE, Alexandria). Values from VASP.

## Properties
energy relative to the elements, uncorrected: 1.045 eV/atom
space group: P4/mmm, No. 123
magnetization: 1.78 μB/cell

Geometry as Quantum ESPRESSO input:
```
&SYSTEM
  ibrav = 0, nat = 5, ntyp = 4
/
ATOMIC_SPECIES
Be 9.01 Be.upf
Tl 204.38 Tl.upf
Tc 98.00 Tc.upf
I 126.90 I.upf
CELL_PARAMETERS angstrom
4.6238 0.0000 0.0000
0.0000 4.6238 0.0000
0.0000 0.0000 5.5028
ATOMIC_POSITIONS crystal
Be 0.0000 0.5000 0.0000
Be 0.5000 0.0000 0.0000
Tl 0.0000 0.0000 0.5000
Tc 0.0000 0.0000 0.0000
I 0.5000 0.5000 0.5000
```

=====

No. 5
# BeTcW2I

An optimized crystal structure of BeTcW2I (GGA-PBE, Alexandria). Values from VASP.

## Properties
energy relative to the elements, uncorrected: 1.788 eV/atom
space group: P4/mmm, No. 123
magnetization: 0.00 μB/cell

Geometry as Quantum ESPRESSO input:
```
&SYSTEM
  ibrav = 0, nat = 5, ntyp = 4
/
ATOMIC_SPECIES
Be 9.01 Be.upf
Tc 98.00 Tc.upf
W 183.84 W.upf
I 126.90 I.upf
CELL_PARAMETERS angstrom
4.2419 0.0000 0.0000
0.0000 4.2419 0.0000
0.0000 0.0000 4.6947
ATOMIC_POSITIONS crystal
Be 0.0000 0.0000 0.0000
Tc 0.5000 0.5000 0.5000
W 0.0000 0.5000 0.0000
W 0.5000 0.0000 0.0000
I 0.0000 0.0000 0.5000
```

=====

No. 6
# Be3TeI

An optimized crystal structure of Be3TeI (GGA-PBE, Alexandria). Values from VASP.

## Properties
energy relative to the elements, uncorrected: 1.084 eV/atom
space group: Pm-3m, No. 221
magnetization: 0.00 μB/cell

Geometry as Quantum ESPRESSO input:
```
&SYSTEM
  ibrav = 0, nat = 5, ntyp = 3
/
ATOMIC_SPECIES
Be 9.01 Be.upf
Te 127.60 Te.upf
I 126.90 I.upf
CELL_PARAMETERS angstrom
4.9180 0.0000 0.0000
0.0000 4.9180 0.0000
0.0000 0.0000 4.9180
ATOMIC_POSITIONS crystal
Be 0.0000 0.0000 0.5000
Be 0.0000 0.5000 0.0000
Be 0.5000 0.0000 0.0000
Te 0.0000 0.0000 0.0000
I 0.5000 0.5000 0.5000
```

=====

No. 7
# Be3TeI

An optimized crystal structure of Be3TeI (GGA-PBE, Alexandria). Values from VASP.

## Properties
energy relative to the elements, uncorrected: 1.381 eV/atom
space group: Pm-3m, No. 221
magnetization: 0.00 μB/cell

Geometry as Quantum ESPRESSO input:
```
&SYSTEM
  ibrav = 0, nat = 5, ntyp = 3
/
ATOMIC_SPECIES
Be 9.01 Be.upf
Te 127.60 Te.upf
I 126.90 I.upf
CELL_PARAMETERS angstrom
4.8356 0.0000 0.0000
0.0000 4.8356 0.0000
0.0000 0.0000 4.8356
ATOMIC_POSITIONS crystal
Be 0.0000 0.0000 0.5000
Be 0.0000 0.5000 0.0000
Be 0.5000 0.0000 0.0000
Te 0.5000 0.5000 0.5000
I 0.0000 0.0000 0.0000
```

=====

No. 8
# BeTe3I

An optimized crystal structure of BeTe3I (GGA-PBE, Alexandria). Values from VASP.

## Properties
energy relative to the elements, uncorrected: 1.340 eV/atom
space group: Pm-3m, No. 221
magnetization: 0.00 μB/cell

Geometry as Quantum ESPRESSO input:
```
&SYSTEM
  ibrav = 0, nat = 5, ntyp = 3
/
ATOMIC_SPECIES
Be 9.01 Be.upf
Te 127.60 Te.upf
I 126.90 I.upf
CELL_PARAMETERS angstrom
5.8530 0.0000 0.0000
0.0000 5.8530 0.0000
0.0000 0.0000 5.8530
ATOMIC_POSITIONS crystal
Be 0.0000 0.0000 0.0000
Te 0.0000 0.5000 0.5000
Te 0.5000 0.0000 0.5000
Te 0.5000 0.5000 0.0000
I 0.5000 0.5000 0.5000
```